No. 1
A crystal of TaCrW relaxed with PBEsol, computed with meta-GGA SCAN.

CIF file:
```
data_TaCrW
_space_group_name_H-M_alt 'P 1'
_space_group_IT_number 1
_cell_length_a 3.078
_cell_length_b 3.078
_cell_length_c 5.168
_cell_angle_alpha 107.32
_cell_angle_beta 107.32
_cell_angle_gamma 90.00
loop_
_space_group_symop_operation_xyz
'x,y,z'
loop_
_atom_site_label
_atom_site_fract_x
_atom_site_fract_y
_atom_site_fract_z
_atom_site_occupancy
Cr1 0.996 0.996 0.992 1
W1 0.343 0.343 0.686 1
Ta1 0.661 0.661 0.322 1
```

Properties
The calculation puts the formation energy at -4 kJ/mol of atoms. Its symmetry is No. 107.

***

No. 2
A crystal of LaBiNO2 relaxed with PBEsol, computed with meta-GGA SCAN.

CIF file:
```
data_LaBiNO2
_space_group_name_H-M_alt 'P 1'
_space_group_IT_number 1
_cell_length_a 4.423
_cell_length_b 4.453
_cell_length_c 4.453
_cell_angle_alpha 90.00
_cell_angle_beta 90.00
_cell_angle_gamma 90.00
loop_
_space_group_symop_operation_xyz
'x,y,z'
loop_
_atom_site_label
_atom_site_fract_x
_atom_site_fract_y
_atom_site_fract_z
_atom_site_occupancy
N1 0.500 0.000 0.000 1
Bi1 0.500 0.500 0.500 1
O1 0.000 0.000 0.500 1
O2 0.000 0.500 0.000 1
La1 0.000 0.000 0.000 1
```

Properties
As for the formation energy (no corrections): -2.84 eV/f.u. Its symmetry is No. 123.

***

No. 3
A crystal of ScGaS2Cl relaxed with PBEsol, computed with meta-GGA SCAN.

CIF file:
```
data_ScGaS2Cl
_space_group_name_H-M_alt 'P 1'
_space_group_IT_number 1
_cell_length_a 4.874
_cell_length_b 4.874
_cell_length_c 5.000
_cell_angle_alpha 90.00
_cell_angle_beta 90.00
_cell_angle_gamma 90.00
loop_
_space_group_symop_operation_xyz
'x,y,z'
loop_
_atom_site_label
_atom_site_fract_x
_atom_site_fract_y
_atom_site_fract_z
_atom_site_occupancy
Sc1 0.000 0.000 0.000 1
S1 0.000 0.500 0.000 1
S2 0.500 0.000 0.000 1
Ga1 0.500 0.500 0.500 1
Cl1 0.000 0.000 0.500 1
```

Properties
As for the formation energy (no corrections): -5.13 eV/f.u. Its symmetry is No. 123.

***

No. 4
A crystal of ZrAs2Au relaxed with PBEsol, computed with meta-GGA SCAN.

CIF file:
```
data_ZrAs2Au
_space_group_name_H-M_alt 'P 1'
_space_group_IT_number 1
_cell_length_a 7.146
_cell_length_b 5.893
_cell_length_c 7.146
_cell_angle_alpha 52.68
_cell_angle_beta 90.00
_cell_angle_gamma 127.32
loop_
_space_group_symop_operation_xyz
'x,y,z'
loop_
_atom_site_label
_atom_site_fract_x
_atom_site_fract_y
_atom_site_fract_z
_atom_site_occupancy
As1 0.648 0.750 0.375 1
As2 0.102 0.750 0.875 1
As3 0.875 0.250 0.648 1
As4 0.375 0.250 0.102 1
Au1 0.750 0.500 0.750 1
Au2 0.000 0.000 0.000 1
Zr1 0.250 0.500 0.250 1
Zr2 0.500 0.000 0.500 1
```

Properties
The calculation puts the formation energy at -31 kJ/mol of atoms. Its symmetry is No. 122.

***

No. 5
A crystal of TaRu2Au relaxed with PBEsol, computed with meta-GGA SCAN.

CIF file:
```
data_TaRu2Au
_space_group_name_H-M_alt 'P 1'
_space_group_IT_number 1
_cell_length_a 2.881
_cell_length_b 4.657
_cell_length_c 4.830
_cell_angle_alpha 100.78
_cell_angle_beta 107.35
_cell_angle_gamma 90.00
loop_
_space_group_symop_operation_xyz
'x,y,z'
loop_
_atom_site_label
_atom_site_fract_x
_atom_site_fract_y
_atom_site_fract_z
_atom_site_occupancy
Au1 0.749 0.250 0.497 1
Ru1 0.993 0.976 0.987 1
Ru2 0.255 0.764 0.510 1
Ta1 0.503 0.510 0.006 1
```

Properties
The calculation puts the formation energy at -3 kJ/mol of atoms. Its symmetry is No. 8. For the relative energy among the computed polymorphs, the calculation gives 0.240 eV per atom.

***

No. 6
A crystal of Ba3Ga2B10H4O23 relaxed with PBEsol, computed with meta-GGA SCAN.

CIF file:
```
data_Ba3Ga2B10H4O23
_space_group_name_H-M_alt 'P 1'
_space_group_IT_number 1
_cell_length_a 7.128
_cell_length_b 7.128
_cell_length_c 23.172
_cell_angle_alpha 94.54
_cell_angle_beta 94.54
_cell_angle_gamma 119.06
loop_
_space_group_symop_operation_xyz
'x,y,z'
loop_
_atom_site_label
_atom_site_fract_x
_atom_site_fract_y
_atom_site_fract_z
_atom_site_occupancy
Ba1 0.699 0.711 0.188 1
Ba2 0.289 0.301 0.812 1
Ba3 0.227 0.739 0.688 1
Ba4 0.261 0.773 0.312 1
Ba5 0.259 0.741 0.000 1
Ba6 0.009 0.991 0.500 1
Ga1 0.382 0.044 0.167 1
Ga2 0.956 0.618 0.833 1
Ga3 0.873 0.035 0.667 1
Ga4 0.965 0.127 0.333 1
B1 0.395 0.334 0.963 1
B2 0.666 0.605 0.037 1
B3 0.379 0.817 0.463 1
B4 0.183 0.621 0.537 1
B5 0.177 0.596 0.166 1
B6 0.404 0.823 0.834 1
B7 0.320 0.239 0.666 1
B8 0.761 0.680 0.334 1
B9 0.095 0.221 0.179 1
B10 0.779 0.905 0.821 1
B11 0.708 0.334 0.679 1
B12 0.666 0.292 0.321 1
B13 0.477 0.229 0.057 1
B14 0.771 0.523 0.943 1
B15 0.578 0.830 0.557 1
B16 0.170 0.422 0.443 1
B17 0.829 0.332 0.197 1
B18 0.668 0.171 0.803 1
B19 0.615 0.618 0.697 1
B20 0.382 0.385 0.303 1
H1 0.948 0.531 0.096 1
H2 0.469 0.052 0.904 1
H3 0.315 0.398 0.596 1
H4 0.602 0.685 0.404 1
H5 0.078 0.126 0.933 1
H6 0.874 0.922 0.067 1
H7 0.557 0.105 0.433 1
H8 0.895 0.443 0.567 1
O1 0.991 0.545 0.200 1
O2 0.455 0.009 0.800 1
O3 0.405 0.460 0.700 1
O4 0.540 0.595 0.300 1
O5 0.626 0.290 0.205 1
O6 0.710 0.374 0.795 1
O7 0.665 0.828 0.705 1
O8 0.172 0.335 0.295 1
O9 0.378 0.168 0.000 1
O10 0.832 0.622 0.000 1
O11 0.581 0.871 0.500 1
O12 0.129 0.419 0.500 1
O13 0.134 0.052 0.180 1
O14 0.948 0.866 0.820 1
O15 0.877 0.296 0.680 1
O16 0.704 0.123 0.320 1
O17 0.416 0.061 0.089 1
O18 0.939 0.584 0.911 1
O19 0.778 0.923 0.589 1
O20 0.077 0.222 0.411 1
O21 0.241 0.425 0.170 1
O22 0.575 0.759 0.830 1
O23 0.494 0.179 0.670 1
O24 0.821 0.506 0.330 1
O25 0.107 0.603 0.105 1
O26 0.397 0.893 0.895 1
O27 0.252 0.248 0.605 1
O28 0.752 0.748 0.395 1
O29 0.465 0.535 0.000 1
O30 0.215 0.785 0.500 1
O31 0.879 0.167 0.185 1
O32 0.833 0.121 0.815 1
O33 0.768 0.556 0.685 1
O34 0.444 0.232 0.315 1
O35 0.191 0.268 0.926 1
O36 0.732 0.809 0.074 1
O37 0.409 0.985 0.426 1
O38 0.015 0.591 0.574 1
O39 0.364 0.801 0.192 1
O40 0.199 0.636 0.808 1
O41 0.142 0.078 0.692 1
O42 0.922 0.858 0.308 1
O43 0.631 0.440 0.079 1
O44 0.560 0.369 0.921 1
O45 0.388 0.697 0.579 1
O46 0.303 0.612 0.421 1
```

Properties
Its symmetry is No. 43.

***

Number 1: uncorrected energy -51.591 eV per atom. Number 2: uncorrected energy -29.255 eV per atom. Number 3: uncorrected energy -12.590 eV per atom. Number 4: uncorrected energy -35.383 eV per atom. Number 5: uncorrected energy -51.378 eV per atom. Number 6: uncorrected energy -11.633 eV per atom.